Entry 1:
## CaSb2IF (PBE-GGA)

Data for a geometry-optimized CaSb2IF structure.

Properties
As for the uncorrected formation energy: 0.104 eV per atom. Its volume is 40.13 A^3/atom.

Lattice parameters (Å, degrees): 5.8914 5.8914 5.7813 90.00 90.00 90.00
Last column: nearest neighbours and their distance in Å.
Space group P4/mmm (No. 123)
Symmetry-distinct sites (fractional):
Ca (0.0000, 0.0000, 0.0000)  2 I 2.89, 4 Sb 2.95
Sb (0.0000, 0.5000, 0.0000)  2 Ca 2.95
I (0.0000, 0.0000, 0.5000)  2 Ca 2.89
F (0.5000, 0.5000, 0.5000)  8 Sb 4.13, 4 I 4.17

=====

Entry 2:
## CaSb2IF (PBE-GGA)

Data for a geometry-optimized CaSb2IF structure.

Properties
As for the uncorrected formation energy: -0.699 eV per atom. Its volume is 28.21 A^3/atom.

Lattice parameters (Å, degrees): 4.7213 4.7213 6.3279 90.00 90.00 90.00
Last column: nearest neighbours and their distance in Å.
Space group P4/mmm (No. 123)
Symmetry-distinct sites (fractional):
Ca (0.0000, 0.0000, 0.0000)  4 I 3.34
Sb (0.0000, 0.5000, 0.5000)  2 F 2.36
I (0.5000, 0.5000, 0.0000)  2 F 3.16, 4 Ca 3.34
F (0.5000, 0.5000, 0.5000)  4 Sb 2.36

=====

Entry 3:
## CaTeI2F (PBE-GGA)

Data for a geometry-optimized CaTeI2F structure.

Properties
As for the uncorrected formation energy: -0.795 eV per atom. Its volume is 30.67 A^3/atom.

Lattice parameters (Å, degrees): 5.9194 5.9194 4.3769 90.00 90.00 90.00
Last column: nearest neighbours and their distance in Å.
Space group P4/mmm (No. 123)
Symmetry-distinct sites (fractional):
Ca (0.0000, 0.0000, 0.0000)  8 I 3.68
Te (0.5000, 0.5000, 0.0000)  2 F 2.19
I (0.0000, 0.5000, 0.5000)  2 F 2.96
F (0.5000, 0.5000, 0.5000)  2 Te 2.19

=====

Entry 4:
## CaTeI2F (PBE-GGA)

Data for a geometry-optimized CaTeI2F structure.

Properties
As for the uncorrected formation energy: -0.435 eV per atom. Its volume is 45.98 A^3/atom.

Lattice parameters (Å, degrees): 5.9824 5.9824 6.4239 90.00 90.00 90.00
Last column: nearest neighbours and their distance in Å.
Space group P4/mmm (No. 123)
Symmetry-distinct sites (fractional):
Ca (0.0000, 0.0000, 0.0000)  4 I 2.99, 2 Te 3.21
Te (0.0000, 0.0000, 0.5000)  2 Ca 3.21
I (0.0000, 0.5000, 0.0000)  2 Ca 2.99
F (0.5000, 0.5000, 0.5000)  4 Te 4.23, 8 I 4.39

=====

Q: Which of these has the lowest uncorrected formation energy?
A: number 3

=====

Q: Look up the uncorrected formation energy of the third one.
A: -0.795 eV per atom

=====

Q: What is the formula in the first record?
A: CaSb2IF

=====

Q: Number 4 is which compound?
A: CaTeI2F